Entry 1:
Computed, not measured: LiH3Pd2 after structural relaxation at the GGA-PBE level of DFT.

```
LiH3Pd2
1.0
-4.124 3.453 -1.001
-3.021 -3.635 -0.092
-1.931 -1.096 4.174
Li H Pd
2 6 4
Direct
0.250 0.447 0.553
0.750 0.553 0.447
0.750 0.989 0.011
0.750 0.024 0.499
0.250 0.499 0.024
0.750 0.501 0.976
0.250 0.976 0.501
0.250 0.011 0.989
0.000 0.177 0.177
0.500 0.177 0.177
0.000 0.823 0.823
0.500 0.823 0.823
```

Total moment   0.000 μB/cell
Total energy   -3.944 eV/atom
Density   6.7 Mg/m³
SG   Cmcm, No. 63

=====

Entry 2:
Computed, not measured: Li4H2Pd after structural relaxation at the GGA-PBE level of DFT.

```
Li4H2Pd
1.0
4.738 0.000 0.000
0.000 4.738 0.000
2.369 2.369 5.398
H Pd Li
2 1 4
Direct
0.387 0.387 0.226
0.613 0.613 0.774
0.000 0.000 0.000
0.226 0.226 0.548
0.774 0.774 0.452
0.000 0.500 0.000
0.500 0.000 0.000
```

Total moment   0.000 μB/cell
Total energy   -2.684 eV/atom
Density   1.9 Mg/m³
SG   I4/mmm, No. 139

=====

Entry 3:
Computed, not measured: Li2H4Pd after structural relaxation at the GGA-PBE level of DFT.

```
Li2H4Pd
1.0
5.269 0.000 -1.113
0.000 4.470 0.000
-3.084 0.000 6.035
Li H Pd
4 8 2
Direct
0.700 0.750 0.085
0.300 0.250 0.915
0.300 0.250 0.385
0.700 0.750 0.615
0.505 0.495 0.252
0.196 0.750 0.853
0.804 0.250 0.147
0.505 0.005 0.252
0.804 0.250 0.657
0.495 0.995 0.748
0.495 0.505 0.748
0.196 0.750 0.343
0.218 0.750 0.109
0.782 0.250 0.891
```

Total moment   0.000 μB/cell
Total energy   -3.463 eV/atom
Density   3.3 Mg/m³
SG   Cmcm, No. 63

=====

Entry 4:
Computed, not measured: Li2H3Pd2 after structural relaxation at the GGA-PBE level of DFT.

```
Li2H3Pd2
1.0
-2.014 -0.721 5.267
-2.214 -4.276 -1.432
2.880 -2.670 3.520
Li H Pd
4 6 4
Direct
0.888 0.655 0.842
0.388 0.845 0.842
0.612 0.155 0.158
0.112 0.345 0.158
0.500 0.500 0.000
0.000 0.000 0.000
0.765 0.062 0.702
0.735 0.562 0.298
0.265 0.438 0.702
0.235 0.938 0.298
0.602 0.346 0.655
0.898 0.846 0.345
0.102 0.154 0.655
0.398 0.654 0.345
```

Total moment   0.000 μB/cell
Total energy   -3.843 eV/atom
Density   5.8 Mg/m³
SG   P2_1/c, No. 14

=====

Entry 5:
Computed, not measured: LiHPd3 after structural relaxation at the GGA-PBE level of DFT.

```
LiHPd3
1.0
2.747 -4.344 0.000
2.747 4.344 0.000
0.000 0.000 5.540
H Pd Li
2 6 2
Direct
0.134 0.866 0.250
0.866 0.134 0.750
0.005 0.484 0.250
0.516 0.995 0.250
0.484 0.005 0.750
0.995 0.516 0.750
0.000 0.000 0.000
0.000 0.000 0.500
0.510 0.490 0.250
0.490 0.510 0.750
```

Total moment   0.000 μB/cell
Total energy   -4.366 eV/atom
Density   8.2 Mg/m³
SG   Cmcm, No. 63

=====

Entry 6:
Computed, not measured: Li2H3Pd8 after structural relaxation at the GGA-PBE level of DFT.

```
Li2H3Pd8
1.0
-4.578 -1.129 -0.088
0.824 -3.662 4.099
0.391 6.725 2.161
Li H Pd
2 3 8
Direct
0.494 0.251 0.502
0.506 0.749 0.498
0.500 0.000 0.000
0.000 0.328 0.000
0.000 0.672 0.000
0.906 0.637 0.274
0.094 0.363 0.726
0.903 0.144 0.288
0.097 0.856 0.712
0.652 0.678 0.853
0.652 0.175 0.853
0.348 0.825 0.147
0.348 0.322 0.147
```

Total moment   0.000 μB/cell
Total energy   -4.349 eV/atom
Density   8.9 Mg/m³
SG   C2/m, No. 12

=====

Entry 7:
Computed, not measured: Li3H9Pd4 after structural relaxation at the GGA-PBE level of DFT.

```
Li3H9Pd4
1.0
-2.646 -3.435 2.180
2.057 -4.210 1.266
1.454 0.128 7.368
Li H Pd
3 9 4
Direct
0.994 0.994 0.017
0.840 0.840 0.480
0.417 0.417 0.748
0.978 0.450 0.056
0.516 0.978 0.056
0.450 0.516 0.056
0.856 0.320 0.441
0.383 0.856 0.441
0.320 0.383 0.441
0.877 0.417 0.749
0.417 0.957 0.749
0.957 0.877 0.749
0.567 0.567 0.298
0.133 0.133 0.602
0.267 0.267 0.199
0.702 0.702 0.895
```

Total moment   0.000 μB/cell
Total energy   -3.806 eV/atom
Density   5.3 Mg/m³
SG   R3, No. 146

=====

Entry 8:
Computed, not measured: LiH4Pd after structural relaxation at the GGA-PBE level of DFT.

```
LiH4Pd
1.0
3.946 2.985 0.000
1.736 7.487 0.000
-2.841 -5.236 4.431
Li H Pd
2 8 2
Direct
0.005 0.755 0.510
0.995 0.245 0.490
0.261 0.378 0.146
0.385 0.768 0.146
0.162 0.473 0.572
0.838 0.527 0.428
0.091 0.901 0.428
0.615 0.232 0.854
0.909 0.099 0.572
0.739 0.622 0.854
0.324 0.574 0.147
0.676 0.426 0.853
```

Total moment   0.000 μB/cell
Total energy   -3.539 eV/atom
Density   3.6 Mg/m³
SG   C2/c, No. 15

=====

Entry 9:
Computed, not measured: Li2HPd after structural relaxation at the GGA-PBE level of DFT.

```
Li2HPd
1.0
2.669 0.000 0.000
0.000 2.669 0.000
0.000 0.000 6.399
H Pd Li
1 1 2
Direct
0.500 0.500 0.000
0.500 0.500 0.500
0.000 0.000 0.807
0.000 0.000 0.193
```

Total moment   0.000 μB/cell
Total energy   -3.364 eV/atom
Density   4.4 Mg/m³
SG   P4/mmm, No. 123

=====

Entry 10:
Computed, not measured: LiH5Pd8 after structural relaxation at the GGA-PBE level of DFT.

```
LiH5Pd8
1.0
2.845 -0.007 -0.554
-0.208 6.959 -0.967
0.017 0.921 7.628
Li H Pd
1 5 8
Direct
0.496 0.490 0.993
0.305 0.646 0.602
0.691 0.355 0.390
0.376 0.077 0.751
0.615 0.882 0.231
0.043 0.081 0.087
0.269 0.170 0.536
0.728 0.829 0.454
0.162 0.504 0.324
0.833 0.493 0.666
0.049 0.814 0.101
0.938 0.171 0.872
0.392 0.819 0.783
0.606 0.170 0.210
```

Total moment   0.000 μB/cell
Total energy   -4.434 eV/atom
Density   9.3 Mg/m³
SG   P1, No. 1

=====

Entry 11:
Computed, not measured: LiH5Pd4 after structural relaxation at the GGA-PBE level of DFT.

```
LiH5Pd4
1.0
2.818 0.000 0.645
1.214 4.768 1.165
0.024 0.040 6.412
Li H Pd
1 5 4
Direct
0.000 0.000 0.000
0.216 0.911 0.693
0.784 0.089 0.307
0.377 0.359 0.879
0.000 0.500 0.500
0.623 0.641 0.121
0.584 0.206 0.615
0.212 0.374 0.195
0.788 0.626 0.805
0.416 0.794 0.385
```

Total moment   0.000 μB/cell
Total energy   -4.142 eV/atom
Density   8.5 Mg/m³
SG   P-1, No. 2

=====

Entry 12:
Computed, not measured: LiH3Pd3 after structural relaxation at the GGA-PBE level of DFT.

```
LiH3Pd3
1.0
4.984 0.000 0.000
2.492 4.316 0.000
2.492 1.439 6.746
Li H Pd
2 6 6
Direct
0.333 0.333 0.000
0.667 0.667 0.000
0.261 0.599 0.210
0.930 0.261 0.210
0.599 0.930 0.210
0.401 0.070 0.790
0.070 0.739 0.790
0.739 0.401 0.790
0.442 0.773 0.678
0.773 0.107 0.678
0.107 0.442 0.678
0.893 0.558 0.322
0.227 0.893 0.322
0.558 0.227 0.322
```

Total moment   0.000 μB/cell
Total energy   -4.169 eV/atom
Density   7.5 Mg/m³
SG   R-3, No. 148

=====

Entry 13:
Computed, not measured: Li3H2Pd3 after structural relaxation at the GGA-PBE level of DFT.

```
Li3H2Pd3
1.0
2.901 0.000 -0.645
-0.302 4.193 -1.360
0.196 -1.440 7.736
Li H Pd
3 2 3
Direct
0.840 0.262 0.681
0.160 0.738 0.319
0.000 0.000 0.000
0.770 0.732 0.541
0.230 0.268 0.459
0.340 0.761 0.680
0.500 0.500 0.000
0.660 0.239 0.320
```

Total moment   0.000 μB/cell
Total energy   -3.867 eV/atom
Density   6.4 Mg/m³
SG   C2/m, No. 12

=====

Entry 14:
Computed, not measured: Li2H5Pd5 after structural relaxation at the GGA-PBE level of DFT.

```
Li2H5Pd5
1.0
-2.071 -1.928 -0.183
3.242 -1.018 -3.993
4.108 -4.880 4.910
Li H Pd
2 5 5
Direct
0.968 0.936 0.769
0.032 0.064 0.231
0.121 0.241 0.474
0.752 0.504 0.808
0.248 0.496 0.192
0.879 0.759 0.526
0.000 0.000 0.000
0.500 0.000 0.500
0.633 0.266 0.973
0.758 0.516 0.337
0.242 0.484 0.663
0.367 0.734 0.027
```

Total moment   0.000 μB/cell
Total energy   -4.134 eV/atom
Density   7.9 Mg/m³
SG   C2/m, No. 12

=====

Entry 15:
Computed, not measured: LiHPd3 after structural relaxation at the GGA-PBE level of DFT.

```
LiHPd3
1.0
2.685 0.000 0.000
0.000 2.676 -6.461
0.000 2.676 6.461
H Pd Li
1 3 1
Direct
0.000 0.447 0.553
0.500 0.161 0.330
0.500 0.670 0.839
0.000 0.262 0.738
0.500 0.088 0.912
```

Total moment   0.000 μB/cell
Total energy   -3.938 eV/atom
Density   5.9 Mg/m³
SG   Amm2, No. 38

=====

Entry 16:
Computed, not measured: Li3H4Pd after structural relaxation at the GGA-PBE level of DFT.

```
Li3H4Pd
1.0
-1.600 3.356 -0.776
1.054 -0.726 -5.310
-6.070 -3.075 -0.784
Li H Pd
6 8 2
Direct
0.565 0.889 0.000
0.064 0.669 0.219
0.564 0.331 0.281
0.065 0.111 0.500
0.564 0.331 0.719
0.064 0.669 0.781
0.065 0.884 0.000
0.565 0.258 0.000
0.064 0.296 0.246
0.564 0.704 0.254
0.065 0.742 0.500
0.565 0.116 0.500
0.564 0.704 0.746
0.064 0.296 0.754
0.065 0.234 0.000
0.565 0.766 0.500
```

Total moment   0.000 μB/cell
Total energy   -3.413 eV/atom
Density   3.1 Mg/m³
SG   Pmmn, No. 59

=====

Entry 17:
Computed, not measured: LiHPd3 after structural relaxation at the GGA-PBE level of DFT.

```
LiHPd3
1.0
-2.106 -8.128 -22.914
1.126 -3.615 1.179
-1.739 2.224 8.479
H Pd Li
4 12 4
Direct
0.076 0.250 0.573
0.924 0.750 0.427
0.424 0.750 0.927
0.576 0.250 0.073
0.193 0.250 0.693
0.807 0.750 0.307
0.307 0.750 0.807
0.693 0.250 0.193
0.315 0.250 0.315
0.685 0.750 0.685
0.185 0.750 0.185
0.815 0.250 0.815
0.566 0.750 0.066
0.434 0.250 0.934
0.934 0.250 0.434
0.066 0.750 0.566
0.433 0.750 0.433
0.567 0.250 0.567
0.067 0.250 0.067
0.933 0.750 0.933
```

Total moment   0.000 μB/cell
Total energy   -4.403 eV/atom
Density   8.7 Mg/m³
SG   P2_1/m, No. 11

=====

Entry 18:
Computed, not measured: Li2H3Pd after structural relaxation at the GGA-PBE level of DFT.

```
Li2H3Pd
1.0
4.099 0.000 0.000
0.000 5.796 -0.008
-2.049 -1.454 4.148
Li H Pd
4 6 2
Direct
0.659 0.580 0.318
0.659 0.080 0.318
0.341 0.920 0.682
0.341 0.420 0.682
0.499 0.250 0.000
0.501 0.750 0.000
0.140 0.072 0.280
0.860 0.428 0.720
0.140 0.572 0.280
0.860 0.928 0.720
0.000 0.750 0.000
0.000 0.250 0.000
```

Total moment   0.000 μB/cell
Total energy   -3.541 eV/atom
Density   4.2 Mg/m³
SG   C2/m, No. 12

=====

Entry 19:
Computed, not measured: LiHPd3 after structural relaxation at the GGA-PBE level of DFT.

```
LiHPd3
1.0
13.227 0.000 2.726
4.356 2.054 -1.333
-4.356 2.054 1.333
H Pd Li
2 6 2
Direct
0.900 0.995 0.005
0.100 0.005 0.995
0.786 0.332 0.668
0.214 0.668 0.332
0.931 0.439 0.561
0.069 0.561 0.439
0.343 0.802 0.198
0.657 0.198 0.802
0.572 0.035 0.965
0.428 0.965 0.035
```

Total moment   0.000 μB/cell
Total energy   -4.381 eV/atom
Density   9.0 Mg/m³
SG   C2/m, No. 12

=====

Entry 20:
Computed, not measured: LiHPd3 after structural relaxation at the GGA-PBE level of DFT.

```
LiHPd3
1.0
3.764 0.000 0.000
0.000 3.764 0.000
0.000 0.000 6.447
H Pd Li
1 3 1
Direct
0.500 0.500 0.415
0.000 0.000 0.770
0.500 0.000 0.459
0.000 0.500 0.459
0.000 0.000 0.160
```

Total moment   0.000 μB/cell
Total energy   -3.935 eV/atom
Density   6.0 Mg/m³
SG   P4mm, No. 99

=====

Entry 21:
Computed, not measured: Li2H4Pd5 after structural relaxation at the GGA-PBE level of DFT.

```
Li2H4Pd5
1.0
2.933 0.000 0.000
0.000 7.271 -0.270
-1.467 -2.741 5.491
Li H Pd
2 4 5
Direct
0.568 0.404 0.136
0.432 0.596 0.864
0.638 0.701 0.276
0.963 0.808 0.926
0.362 0.299 0.724
0.037 0.192 0.074
0.138 0.843 0.277
0.862 0.157 0.723
0.210 0.294 0.419
0.500 0.000 0.000
0.790 0.706 0.581
```

Total moment   0.000 μB/cell
Total energy   -4.173 eV/atom
Density   7.9 Mg/m³
SG   C2/m, No. 12